Entry from Alexandria via LeMat-Bulk: an optimized crystal structure of FeS2O (PBE+U).

Unit cell a=4.879 b=4.879 c=11.913 alpha=90.00 beta=90.00 gamma=90.00
Space group I-42d (No. 122)
Unique sites:
Fe  0.000  0.000  0.000 [4 per cell]
S  0.178  0.250  0.625 [8 per cell]
O  0.000  0.000  0.500 [4 per cell]

Properties
energy	-4.37	eV per atom
crystal system	tetragonal
magnetic moment	3.93	μB/f.u.
calculated volume	283.6	Å³/cell
density of states at the Fermi level	1.0	states/eV/f.u.